The following is a DFT calculation (GGA-PBE) of crystalline BaPaSn2 at its relaxed geometry.

Results
Formation enthalpy at 0 K = -0.7 eV per formula unit
N(E_F) = 6.26 states/eV/cell
VASP energy = -20.08 eV for the cell shown
Total magnetic moment = 0.6 μB/f.u.
SG = R-3m, No. 166

Lattice parameters (Å, degrees): 7.7600 7.7600 7.7600 36.49 36.49 36.49
Fractional coordinates of all 4 atoms:
1 Ba 0.0000 0.0000 0.0000
2 Pa 0.5000 0.5000 0.5000
3 Sn 0.2284 0.2284 0.2284
4 Sn 0.7716 0.7716 0.7716